1.
ZnNiC2Se | PBE-GGA | relaxed

Lattice parameters (Å, degrees): 3.8066 4.9133 3.8066 90.00 90.00 90.00
Each line ends with the local moment (μB).
Fractional positions:
C (0.5000, 0.0000, 0.0000)  0.07
Ni (0.0000, 0.5000, 0.0000)  0.06
C (0.0000, 0.0000, 0.5000)  0.04
Se (0.5000, 0.5000, 0.5000)  0.00
Zn (0.0000, 0.0000, 0.0000)  0.01

=====

2.
SiNiC3 | PBE-GGA | relaxed

Lattice parameters (Å, degrees): 3.7048 3.7048 3.7048 90.00 90.00 90.00
Fractional positions:
Ni (0.5000, 0.5000, 0.5000)
C (0.5000, 0.0000, 0.0000)
C (0.0000, 0.5000, 0.0000)
Si (0.0000, 0.0000, 0.0000)
C (0.0000, 0.0000, 0.5000)

=====

3.
SiNi3C | PBE-GGA | relaxed

Lattice parameters (Å, degrees): 4.1537 4.1537 4.1537 90.00 90.00 90.00
Fractional positions:
C (0.5000, 0.5000, 0.5000)
Si (0.0000, 0.0000, 0.0000)
Ni (0.5000, 0.0000, 0.0000)
Ni (0.0000, 0.5000, 0.0000)
Ni (0.0000, 0.0000, 0.5000)

=====

| no. | volume (A^3/atom) | raw formation energy (meV/atom) |
| --- | --- | --- |
| 1 | 14.24 | 2139 |
| 2 | 10.17 | 2083 |
| 3 | 14.33 | 1586 |